Compound: Tc2AgP2
Source: the Alexandria database
Functional: PBE
Structure: optimized geometry

abc: 6.5473 6.5473 6.5473
angles: 148.65 148.65 44.92
With the nearest neighbours (Å) after each atom.
Element x y z (fractional)
Tc1 0.1201 0.1201 0.0000  4 P 2.37
Tc2 0.8799 0.8799 0.0000  4 P 2.37
Ag1 0.5000 0.5000 0.0000  8 Tc 2.89
P1 0.2500 0.7500 0.5000  4 Tc 2.37, 4 P 2.50
P2 0.7500 0.2500 0.5000  4 Tc 2.37, 4 P 2.50

* energy relative to the lowest polymorph listed for this composition: 72.1 meV per atom
* calculated formation energy: -0.055 eV per atom
* space-group type: I4/mmm (139)
* crystal system: tetragonal
* total DFT energy (no corrections): -0.255 Ha/atom